An optimized crystal structure of TaHg2AsBr, computed with PBE-GGA.

Calculated values
space group	P4/mmm (123)
uncorrected energy	-16.889	eV/cell
volume	155	Å³ per cell

abc: 5.642 4.875 5.642
angles: 90.00 90.00 90.00
Atoms (fractional coordinates):
As 0.000 0.500 0.000
Hg 0.000 0.000 0.500
Hg 0.500 0.000 0.000
Br 0.500 0.500 0.500
Ta 0.000 0.000 0.000